Entry 1:
BaMgAu2: optimized geometry, PBE.

Results
Its formation energy is -422 meV per atom. The value obtained for the density of states at the Fermi level is 1.507 states/eV/cell.

Lattice parameters (Å, degrees): 8.3639 5.2757 3.8052 89.83 63.18 129.05
Last column: nearest neighbours and their distance in Å.
Fractional positions:
Au 0.0000 0.0000 0.0000  4 Mg 3.25-3.26, 4 Ba 3.25-3.26
Au 0.5000 0.0000 0.5000  4 Ba 3.25-3.26, 4 Mg 3.25-3.26
Mg 0.5000 0.5000 0.0000  8 Au 3.25-3.26
Ba 0.0000 0.5000 0.5000  8 Au 3.25-3.26

---

Entry 2:
Ba3Mg6Au5: optimized geometry, PBE.

Results
Its formation energy is -547 meV per atom. The value obtained for the density of states at the Fermi level is 17.447 states/eV/cell.

Lattice parameters (Å, degrees): 4.4453 11.9242 14.2375 90.00 90.00 90.00
Last column: nearest neighbours and their distance in Å.
Fractional positions:
Ba 0.5000 0.7546 0.1529  6 Au 3.48-3.54, 6 Mg 3.59-3.80
Au 0.0000 0.8433 0.3260  5 Mg 2.82-3.09
Ba 0.0000 0.2714 0.0000  6 Au 3.47-3.60, 4 Mg 3.64-3.66
Mg 0.0000 0.5853 0.3040  4 Au 2.77-3.09, 1 Mg 3.04
Mg 0.0000 0.0117 0.8292  4 Au 2.80-2.99
Ba 0.0000 0.2454 0.3471  6 Au 3.48-3.54, 6 Mg 3.59-3.80
Mg 0.5000 0.5156 0.0000  4 Au 2.77, 2 Mg 3.04
Au 0.0000 0.5279 0.1157  5 Mg 2.77-2.84
Mg 0.0000 0.9708 0.5000  4 Au 2.73-2.91
Au 0.0000 0.5279 0.8843  5 Mg 2.77-2.84
Mg 0.5000 0.9883 0.3292  4 Au 2.80-2.99
Au 0.5000 0.4721 0.3843  5 Mg 2.77-2.84
Mg 0.0000 0.0117 0.1708  4 Au 2.80-2.99
Au 0.5000 0.1567 0.1740  5 Mg 2.82-3.09
Au 0.0000 0.8957 0.0000  4 Mg 2.73-2.80
Au 0.5000 0.1567 0.8260  5 Mg 2.82-3.09
Mg 0.5000 0.4147 0.8040  4 Au 2.77-3.09, 1 Mg 3.04
Au 0.5000 0.1043 0.5000  4 Mg 2.73-2.80
Mg 0.5000 0.4147 0.1960  4 Au 2.77-3.09, 1 Mg 3.04
Ba 0.5000 0.7546 0.8471  6 Au 3.48-3.54, 6 Mg 3.59-3.80
Au 0.5000 0.4721 0.6157  5 Mg 2.77-2.84
Mg 0.0000 0.4844 0.5000  4 Au 2.77, 2 Mg 3.04
Ba 0.5000 0.7286 0.5000  6 Au 3.47-3.60, 4 Mg 3.64-3.66
Mg 0.5000 0.9883 0.6708  4 Au 2.80-2.99
Mg 0.5000 0.0292 0.0000  4 Au 2.73-2.91
Mg 0.0000 0.5853 0.6960  4 Au 2.77-3.09, 1 Mg 3.04
Au 0.0000 0.8433 0.6740  5 Mg 2.82-3.09
Ba 0.0000 0.2454 0.6529  6 Au 3.48-3.54, 6 Mg 3.59-3.80

---

Entry 3:
BaMgAu2: optimized geometry, PBE.

Results
Its formation energy is -362 meV per atom. The value obtained for the density of states at the Fermi level is 1.412 states/eV/cell.

Lattice parameters (Å, degrees): 6.1211 6.1211 6.1211 142.86 129.01 64.74
Last column: nearest neighbours and their distance in Å.
Fractional positions:
Au 0.9993 0.9993 0.0000  2 Mg 2.96, 2 Au 3.00, 4 Ba 3.28
Au 0.7793 0.2793 0.5000  2 Au 3.00, 4 Mg 3.35
Mg 0.2142 0.7142 0.5000  2 Au 2.96
Ba 0.5072 0.5072 0.0000  8 Au 3.28-3.53, 4 Mg 3.39-3.60